No. 1
Na3TlS (PBE, relaxed); E_form (uncorrected) = -0.443 eV/atom; D(E_F) = 2.92 states/eV/f.u.; calculated volume = 30.7 Å³/atom; crystal system = cubic; space group = Pm-3m (221); total moment = 0.000 μB per cell; total energy = -2.533 eV/atom
1.0
5.356 0.000 0.000
0.000 5.356 0.000
0.000 0.000 5.356
Na Tl S
3 1 1
Direct
0.000 0.000 0.500
0.000 0.500 0.000
0.500 0.000 0.000
0.500 0.500 0.500
0.000 0.000 0.000

No. 2
Na2Tl2S3 (PBE, relaxed); E_form (uncorrected) = -0.575 eV/atom; calculated volume = 27.2 Å³/atom; crystal system = monoclinic; space group = C2/m (12); total moment = 0.000 μB per cell; total energy = -3.397 eV/atom
1.0
7.343 -2.055 0.000
7.343 2.055 0.000
-3.071 0.000 6.314
Na Tl S
2 2 3
Direct
0.139 0.139 0.011
0.861 0.861 0.989
0.380 0.380 0.579
0.620 0.620 0.421
0.207 0.207 0.697
0.500 0.500 0.000
0.793 0.793 0.303

No. 3
NaTl3S (PBE, relaxed); E_form (uncorrected) = 0.060 eV/atom; D(E_F) = 4.07 states/eV/f.u.; calculated volume = 39.0 Å³/atom; crystal system = cubic; space group = Pm-3m (221); total moment = 0.000 μB per cell; total energy = -2.449 eV/atom
1.0
5.800 0.000 0.000
0.000 5.800 0.000
0.000 0.000 5.800
Na Tl S
1 3 1
Direct
0.000 0.000 0.000
0.000 0.500 0.500
0.500 0.000 0.500
0.500 0.500 0.000
0.500 0.500 0.500

No. 4
NaTl3S2 (PBE, relaxed); E_form (uncorrected) = -0.517 eV/atom; calculated volume = 30.8 Å³/atom; crystal system = monoclinic; space group = C2/m (12); total moment = 0.000 μB per cell; total energy = -3.296 eV/atom
1.0
8.484 -2.150 0.000
8.484 2.150 0.000
-6.570 0.000 10.145
Na Tl S
2 6 4
Direct
0.081 0.081 0.162
0.919 0.919 0.838
0.153 0.153 0.513
0.263 0.263 0.868
0.445 0.445 0.254
0.555 0.555 0.746
0.737 0.737 0.132
0.847 0.847 0.487
0.114 0.114 0.953
0.358 0.358 0.668
0.642 0.642 0.332
0.886 0.886 0.047

No. 5
Na2TlS (PBE, relaxed); E_form (uncorrected) = -0.340 eV/atom; D(E_F) = 0.52 states/eV/f.u.; calculated volume = 28.0 Å³/atom; crystal system = tetragonal; space group = I-42d (122); total moment = 0.000 μB per cell; total energy = -2.623 eV/atom
1.0
-2.447 2.447 9.351
2.447 -2.447 9.351
2.447 2.447 -9.351
Na Tl S
4 2 2
Direct
0.058 0.625 0.933
0.375 0.308 0.433
0.692 0.125 0.067
0.875 0.942 0.567
0.250 0.750 0.500
0.500 0.500 0.000
0.000 0.000 0.000
0.750 0.250 0.500

No. 6
Na2TlS8 (PBE, relaxed); E_form (uncorrected) = -0.060 eV/atom; D(E_F) = 5.29 states/eV/f.u.; calculated volume = 26.0 Å³/atom; crystal system = monoclinic; space group = C2/m (12); total moment = 0.000 μB per cell; total energy = -3.517 eV/atom
1.0
9.773 -3.224 0.000
9.773 3.224 0.000
-0.864 0.000 4.542
Na Tl S
2 1 8
Direct
0.184 0.184 0.440
0.816 0.816 0.560
0.000 0.000 0.000
0.117 0.603 0.105
0.266 0.266 0.010
0.397 0.883 0.895
0.434 0.434 0.189
0.566 0.566 0.811
0.603 0.117 0.105
0.734 0.734 0.990
0.883 0.397 0.895

No. 7
Na3Tl2S4 (PBE, relaxed); E_form (uncorrected) = -0.589 eV/atom; D(E_F) = 3.92 states/eV/f.u.; calculated volume = 28.4 Å³/atom; crystal system = monoclinic; space group = C2/c (15); total moment = 0.000 μB per cell; total energy = -3.389 eV/atom
1.0
6.088 -5.746 0.000
6.088 5.746 0.000
-0.262 0.000 7.311
Na Tl S
6 4 8
Direct
0.152 0.848 0.750
0.221 0.535 0.398
0.465 0.779 0.102
0.535 0.221 0.898
0.779 0.465 0.602
0.848 0.152 0.250
0.089 0.320 0.879
0.320 0.089 0.379
0.680 0.911 0.621
0.911 0.680 0.121
0.082 0.263 0.517
0.207 0.593 0.007
0.263 0.082 0.017
0.407 0.793 0.493
0.593 0.207 0.507
0.737 0.918 0.983
0.793 0.407 0.993
0.918 0.737 0.483

No. 8
NaTl2S6 (PBE, relaxed); E_form (uncorrected) = -0.191 eV/atom; D(E_F) = 3.23 states/eV/f.u.; calculated volume = 28.9 Å³/atom; crystal system = monoclinic; space group = C2/m (12); total moment = 0.000 μB per cell; total energy = -3.615 eV/atom
1.0
5.748 -4.616 0.000
5.748 4.616 0.000
-0.987 0.000 4.904
Na Tl S
1 2 6
Direct
0.000 0.000 0.000
0.358 0.358 0.729
0.642 0.642 0.271
0.153 0.584 0.259
0.168 0.832 0.500
0.416 0.847 0.741
0.584 0.153 0.259
0.832 0.168 0.500
0.847 0.416 0.741

No. 9
NaTlS (PBE, relaxed); E_form (uncorrected) = -0.589 eV/atom; calculated volume = 29.5 Å³/atom; crystal system = cubic; space group = F-43m (216); total moment = 0.000 μB per cell; total energy = -3.193 eV/atom
1.0
0.000 3.538 3.538
3.538 0.000 3.538
3.538 3.538 0.000
Na Tl S
1 1 1
Direct
0.000 0.000 0.000
0.500 0.500 0.500
0.750 0.750 0.750

No. 10
NaTl2S2 (PBE, relaxed); E_form (uncorrected) = -0.354 eV/atom; D(E_F) = 4.28 states/eV/f.u.; calculated volume = 26.0 Å³/atom; crystal system = tetragonal; space group = P4/mbm (127); total moment = 0.000 μB per cell; total energy = -3.215 eV/atom
1.0
7.982 0.000 0.000
0.000 7.982 0.000
0.000 0.000 4.081
Na Tl S
2 4 4
Direct
0.000 0.000 0.000
0.500 0.500 0.000
0.140 0.360 0.500
0.360 0.860 0.500
0.640 0.140 0.500
0.860 0.640 0.500
0.177 0.677 0.000
0.323 0.177 0.000
0.677 0.823 0.000
0.823 0.323 0.000

No. 11
Na5TlS4 (PBE, relaxed); E_form (uncorrected) = -0.782 eV/atom; D(E_F) = 0.53 states/eV/f.u.; calculated volume = 24.6 Å³/atom; crystal system = orthorhombic; space group = Immm (71); total moment = 0.000 μB per cell; total energy = -3.329 eV/atom
1.0
-2.116 3.787 7.674
2.116 -3.787 7.674
2.116 3.787 -7.674
Na Tl S
5 1 4
Direct
0.000 0.000 0.000
0.099 0.326 0.773
0.448 0.674 0.773
0.552 0.326 0.227
0.901 0.674 0.227
0.500 0.000 0.500
0.250 0.500 0.750
0.307 0.807 0.500
0.693 0.193 0.500
0.750 0.500 0.250

No. 12
NaTl2S (PBE, relaxed); E_form (uncorrected) = -0.326 eV/atom; D(E_F) = 1.25 states/eV/f.u.; calculated volume = 28.5 Å³/atom; crystal system = tetragonal; space group = I-42d (122); total moment = 0.000 μB per cell; total energy = -2.871 eV/atom
1.0
-4.291 4.291 3.097
4.291 -4.291 3.097
4.291 4.291 -3.097
Na Tl S
2 4 2
Direct
0.000 0.000 0.000
0.750 0.250 0.500
0.165 0.625 0.040
0.375 0.415 0.540
0.585 0.125 0.960
0.875 0.835 0.460
0.250 0.750 0.500
0.500 0.500 0.000

No. 13
NaTlS5 (PBE, relaxed); E_form (uncorrected) = -0.185 eV/atom; calculated volume = 31.6 Å³/atom; crystal system = monoclinic; space group = C2/c (15); total moment = 0.000 μB per cell; total energy = -3.660 eV/atom
1.0
5.048 -7.460 0.000
5.048 7.460 0.000
-0.357 0.000 5.877
Na Tl S
2 2 10
Direct
0.000 0.500 0.000
0.500 0.000 0.500
0.073 0.927 0.750
0.927 0.073 0.250
0.054 0.276 0.724
0.195 0.805 0.250
0.276 0.054 0.224
0.398 0.502 0.389
0.498 0.602 0.111
0.502 0.398 0.889
0.602 0.498 0.611
0.724 0.946 0.776
0.805 0.195 0.750
0.946 0.724 0.276

No. 14
Na14Tl2S9 (PBE, relaxed); E_form (uncorrected) = -0.904 eV/atom; D(E_F) = 9.54 states/eV/f.u.; calculated volume = 26.0 Å³/atom; crystal system = trigonal; space group = P-3 (147); total moment = 1.328 μB per cell; total energy = -3.318 eV/atom
1.0
8.147 0.000 0.000
-4.073 7.056 0.000
0.000 0.000 11.311
Na Tl S
14 2 9
Direct
0.000 0.000 0.247
0.000 0.000 0.753
0.023 0.676 0.408
0.042 0.368 0.092
0.324 0.347 0.408
0.326 0.958 0.092
0.347 0.023 0.592
0.368 0.326 0.908
0.632 0.674 0.092
0.653 0.977 0.408
0.674 0.042 0.908
0.676 0.653 0.592
0.958 0.632 0.908
0.977 0.324 0.592
0.333 0.667 0.755
0.667 0.333 0.245
0.000 0.000 0.500
0.028 0.334 0.841
0.307 0.972 0.841
0.333 0.667 0.508
0.334 0.307 0.159
0.666 0.693 0.841
0.667 0.333 0.492
0.693 0.028 0.159
0.972 0.666 0.159

No. 15
Na2Tl2S3 (PBE, relaxed); E_form (uncorrected) = -0.580 eV/atom; calculated volume = 28.2 Å³/atom; crystal system = monoclinic; space group = C2/m (12); total moment = 0.000 μB per cell; total energy = -3.401 eV/atom
1.0
6.945 -2.054 0.000
6.945 2.054 0.000
-1.898 0.000 6.927
Na Tl S
2 2 3
Direct
0.122 0.122 0.394
0.878 0.878 0.606
0.352 0.352 0.171
0.648 0.648 0.829
0.279 0.279 0.777
0.500 0.500 0.500
0.721 0.721 0.223

No. 16
NaTl3S (PBE, relaxed); E_form (uncorrected) = 0.379 eV/atom; D(E_F) = 1.09 states/eV/f.u.; calculated volume = 34.8 Å³/atom; crystal system = cubic; space group = Pm-3m (221); total moment = 0.000 μB per cell; total energy = -2.130 eV/atom
1.0
5.585 0.000 0.000
0.000 5.585 0.000
0.000 0.000 5.585
Na Tl S
1 3 1
Direct
0.000 0.000 0.000
0.000 0.000 0.500
0.000 0.500 0.000
0.500 0.000 0.000
0.500 0.500 0.500

No. 17
Na2TlS (PBE, relaxed); E_form (uncorrected) = -0.394 eV/atom; D(E_F) = 1.54 states/eV/f.u.; calculated volume = 24.4 Å³/atom; crystal system = cubic; space group = Fm-3m (225); total moment = 0.000 μB per cell; total energy = -2.677 eV/atom
1.0
0.000 3.655 3.655
3.655 0.000 3.655
3.655 3.655 0.000
Na Tl S
2 1 1
Direct
0.250 0.250 0.250
0.750 0.750 0.750
0.000 0.000 0.000
0.500 0.500 0.500

No. 18
NaTlS (PBE, relaxed); E_form (uncorrected) = -0.613 eV/atom; calculated volume = 30.7 Å³/atom; crystal system = trigonal; space group = R-3m (166); total moment = 0.000 μB per cell; total energy = -3.217 eV/atom
1.0
2.205 1.273 10.919
-2.205 1.273 10.919
0.000 -2.547 10.919
Na Tl S
2 2 2
Direct
0.136 0.136 0.136
0.864 0.864 0.864
0.381 0.381 0.381
0.619 0.619 0.619
0.000 0.000 0.000
0.500 0.500 0.500

No. 19
NaTl3S8 (PBE, relaxed); E_form (uncorrected) = -0.154 eV/atom; D(E_F) = 3.42 states/eV/f.u.; calculated volume = 27.6 Å³/atom; crystal system = tetragonal; space group = I-42m (121); total moment = 0.000 μB per cell; total energy = -3.607 eV/atom
1.0
-3.973 3.973 5.252
3.973 -3.973 5.252
3.973 3.973 -5.252
Na Tl S
1 3 8
Direct
0.000 0.000 0.000
0.250 0.750 0.500
0.500 0.500 0.000
0.750 0.250 0.500
0.086 0.654 0.000
0.211 0.211 0.533
0.322 0.789 0.000
0.346 0.346 0.433
0.654 0.086 0.000
0.678 0.678 0.467
0.789 0.322 0.000
0.914 0.914 0.567

No. 20
NaTlS (PBE, relaxed); E_form (uncorrected) = -0.701 eV/atom; D(E_F) = 0.00 states/eV/f.u.; calculated volume = 28.1 Å³/atom; crystal system = monoclinic; space group = C2/m (12); total moment = 0.000 μB per cell; total energy = -3.306 eV/atom
1.0
3.893 -2.248 0.000
3.893 2.248 0.000
-2.607 0.000 9.633
Na Tl S
2 2 2
Direct
0.201 0.201 0.102
0.799 0.799 0.898
0.379 0.379 0.638
0.621 0.621 0.362
0.100 0.100 0.802
0.900 0.900 0.198